# 1
CaPdN2O (GGA-PBE, relaxed); D(E_F) = 2.0227 states/eV per atom; calculated total energy = -20.410 eV/cell; formation energy without anion corrections = 1.679 eV per atom
1.0
4.387 0.000 0.000
0.000 4.387 0.000
0.000 0.000 4.195
Ca Pd N O
1 1 2 1
Direct
0.000 0.000 0.000 Ca
0.500 0.500 0.500 Pd
0.000 0.500 0.000 N
0.500 0.000 0.000 N
0.000 0.000 0.500 O

# 2
CaPdNO2 (GGA-PBE, relaxed); D(E_F) = 0.4640 states/eV per atom; calculated total energy = -27.938 eV/cell; formation energy without anion corrections = -0.500 eV per atom
1.0
4.194 0.000 0.000
0.000 4.194 0.000
0.000 0.000 3.695
Ca Pd N O
1 1 1 2
Direct
0.000 0.000 0.000 Ca
0.500 0.500 0.500 Pd
0.500 0.500 0.000 N
0.000 0.500 0.500 O
0.500 0.000 0.500 O

# 3
CaPtN2O (GGA-PBE, relaxed); D(E_F) = 2.0491 states/eV per atom; calculated total energy = -20.217 eV/cell; formation energy without anion corrections = 1.887 eV per atom
1.0
4.342 0.000 0.000
0.000 4.342 0.000
0.000 0.000 4.135
Ca Pt N O
1 1 2 1
Direct
0.000 0.000 0.000 Ca
0.500 0.500 0.500 Pt
0.000 0.500 0.000 N
0.500 0.000 0.000 N
0.000 0.000 0.500 O

# 4
CaPtN2O (GGA-PBE, relaxed); D(E_F) = 0.7855 states/eV per atom; calculated total energy = -29.213 eV/cell; formation energy without anion corrections = 0.088 eV per atom
1.0
3.823 0.000 0.000
0.000 3.823 0.000
0.000 0.000 4.569
Ca Pt N O
1 1 2 1
Direct
0.000 0.000 0.000 Ca
0.500 0.500 0.500 Pt
0.000 0.500 0.500 N
0.500 0.000 0.500 N
0.500 0.500 0.000 O

# 5
CaPtNO2 (GGA-PBE, relaxed); D(E_F) = 0.7920 states/eV per atom; calculated total energy = -21.488 eV/cell; formation energy without anion corrections = 0.959 eV per atom
1.0
4.292 0.000 0.000
0.000 4.292 0.000
0.000 0.000 4.558
Ca Pt N O
1 1 1 2
Direct
0.000 0.000 0.000 Ca
0.500 0.500 0.500 Pt
0.000 0.000 0.500 N
0.000 0.500 0.000 O
0.500 0.000 0.000 O

# 6
CaPt2NO (GGA-PBE, relaxed); D(E_F) = 0.9086 states/eV per atom; calculated total energy = -18.069 eV/cell; formation energy without anion corrections = 1.860 eV per atom
1.0
5.291 0.000 0.000
0.000 5.291 0.000
0.000 0.000 4.175
Ca Pt N O
1 2 1 1
Direct
0.000 0.000 0.000 Ca
0.000 0.500 0.000 Pt
0.500 0.000 0.000 Pt
0.500 0.500 0.500 N
0.000 0.000 0.500 O